Computed, not measured: a geometry-optimized KLiZnF4 structure at the PBE level of DFT.

Cell and atoms, written as POSCAR:
```
KLiZnF4
1.0
5.6492 0.0000 0.0000
0.0000 5.6434 0.0000
-1.7041 0.0000 6.8348
K Li Zn F
2 2 2 8
direct
0.2484 0.2500 0.0335
0.7516 0.7500 0.9665
0.1139 0.2500 0.4852
0.8861 0.7500 0.5148
0.2829 0.7500 0.3413
0.7171 0.2500 0.6587
0.0137 0.5182 0.3144
0.0137 0.9818 0.3144
0.3521 0.7500 0.0888
0.4398 0.2500 0.4442
0.5602 0.7500 0.5558
0.6479 0.2500 0.9112
0.9863 0.0182 0.6856
0.9863 0.4818 0.6856
```

## Properties
N(E_F) = 0.00 states/eV per cell
Raw total energy = -59.646 eV for the cell shown
Spin magnetization = 0.00 Bohr magnetons per cell
Symmetry = No. 11



Computed, not measured: a geometry-optimized KLi4Zn3F12 structure at the PBE level of DFT.

Cell and atoms, written as POSCAR:
```
KLi4Zn3F12
1.0
-3.8252 3.8252 3.8252
3.8252 -3.8252 3.8252
3.8252 3.8252 -3.8252
K Li Zn F
1 4 3 12
direct
0.0000 0.0000 0.0000
0.0000 0.0000 0.5000
0.0000 0.5000 0.0000
0.5000 0.0000 0.0000
0.5000 0.5000 0.5000
0.0000 0.5000 0.5000
0.5000 0.0000 0.5000
0.5000 0.5000 0.0000
0.1404 0.3194 0.8210
0.1790 0.4985 0.3194
0.1790 0.8596 0.6806
0.3194 0.1790 0.4985
0.3194 0.8210 0.1404
0.4985 0.3194 0.1790
0.5015 0.6806 0.8210
0.6806 0.1790 0.8596
0.6806 0.8210 0.5015
0.8210 0.1404 0.3194
0.8210 0.5015 0.6806
0.8596 0.6806 0.1790
```

## Properties
N(E_F) = 12.12 states/eV per cell
Raw total energy = -84.610 eV for the cell shown
Spin magnetization = 1.18 Bohr magnetons per cell
Symmetry = No. 204



Computed, not measured: a geometry-optimized K2Li3ZrF12 structure at the PBE level of DFT.

Cell and atoms, written as POSCAR:
```
K2Li3ZrF12
1.0
3.5891 2.0722 6.1737
-3.5891 2.0722 6.1737
0.0000 -4.1443 6.1737
K Li Zr F
2 3 1 12
direct
0.1056 0.1056 0.1056
0.8944 0.8944 0.8944
0.0000 0.5000 0.5000
0.5000 0.0000 0.5000
0.5000 0.5000 0.0000
0.5000 0.5000 0.5000
0.1583 0.1583 0.6316
0.1583 0.6316 0.1583
0.1650 0.5768 0.5768
0.3684 0.8417 0.8417
0.4232 0.4232 0.8350
0.4232 0.8350 0.4232
0.5768 0.1650 0.5768
0.5768 0.5768 0.1650
0.6316 0.1583 0.1583
0.8350 0.4232 0.4232
0.8417 0.3684 0.8417
0.8417 0.8417 0.3684
```

## Properties
N(E_F) = 9.24 states/eV per cell
Raw total energy = -84.827 eV for the cell shown
Spin magnetization = 3.00 Bohr magnetons per cell
Symmetry = No. 166



Computed, not measured: a geometry-optimized K2LuF5 structure at the PBE level of DFT.

Cell and atoms, written as POSCAR:
```
K2LuF5
1.0
10.9181 0.0000 0.0000
0.0000 7.1699 0.0000
0.0000 0.0000 6.6396
K Lu F
8 4 20
direct
0.1707 0.0030 0.0369
0.1707 0.4970 0.0369
0.3293 0.5030 0.5369
0.3293 0.9970 0.5369
0.6707 0.0030 0.4631
0.6707 0.4970 0.4631
0.8293 0.5030 0.9631
0.8293 0.9970 0.9631
0.0028 0.2500 0.5623
0.4972 0.7500 0.0623
0.5028 0.2500 0.9377
0.9972 0.7500 0.4377
0.0150 0.2500 0.8851
0.0709 0.5371 0.6468
0.0709 0.9629 0.6468
0.1652 0.2500 0.3819
0.1865 0.7500 0.3457
0.3135 0.2500 0.8457
0.3348 0.7500 0.8819
0.4291 0.0371 0.1468
0.4291 0.4629 0.1468
0.4850 0.7500 0.3851
0.5150 0.2500 0.6149
0.5709 0.5371 0.8532
0.5709 0.9629 0.8532
0.6652 0.2500 0.1181
0.6865 0.7500 0.1543
0.8135 0.2500 0.6543
0.8348 0.7500 0.6181
0.9291 0.0371 0.3532
0.9291 0.4629 0.3532
0.9850 0.7500 0.1149
```

## Properties
N(E_F) = 0.00 states/eV per cell
Raw total energy = -177.272 eV for the cell shown
Spin magnetization = 0.35 Bohr magnetons per cell
Symmetry = No. 62



Computed, not measured: a geometry-optimized KMgF3 structure at the PBE level of DFT.

Cell and atoms, written as POSCAR:
```
KMgF3
1.0
4.0484 0.0000 0.0000
0.0000 4.0484 0.0000
0.0000 0.0000 4.0484
K Mg F
1 1 3
direct
0.0000 0.0000 0.0000
0.5000 0.5000 0.5000
0.0000 0.5000 0.5000
0.5000 0.0000 0.5000
0.5000 0.5000 0.0000
```

## Properties
N(E_F) = 0.00 states/eV per cell
Raw total energy = -24.797 eV for the cell shown
Spin magnetization = 0.00 Bohr magnetons per cell
Symmetry = No. 221



Computed, not measured: a geometry-optimized KMg3F structure at the PBE level of DFT.

Cell and atoms, written as POSCAR:
```
KMg3F
1.0
5.0782 0.0000 0.0000
0.0000 5.0782 0.0000
0.0000 0.0000 5.0782
K Mg F
1 3 1
direct
0.0000 0.0000 0.0000
0.0000 0.5000 0.5000
0.5000 0.0000 0.5000
0.5000 0.5000 0.0000
0.5000 0.5000 0.5000
```

## Properties
N(E_F) = 2.37 states/eV per cell
Excess energy over the best structure of this formula in the dataset = 0 meV/atom
Spin magnetization = 0.00 Bohr magnetons per cell
Symmetry = No. 221



Computed, not measured: a geometry-optimized KMgF3 structure at the PBE level of DFT.

Cell and atoms, written as POSCAR:
```
KMgF3
1.0
3.3572 0.0000 0.0000
0.0000 5.3551 0.0000
0.0000 0.0000 7.5083
K Mg F
2 2 6
direct
0.2500 0.2500 0.1325
0.7500 0.7500 0.8675
0.2500 0.7500 0.4003
0.7500 0.2500 0.5997
0.2500 0.0027 0.6241
0.2500 0.4973 0.6241
0.2500 0.7500 0.1335
0.7500 0.2500 0.8665
0.7500 0.5027 0.3759
0.7500 0.9973 0.3759
```

## Properties
N(E_F) = 0.00 states/eV per cell
Raw total energy = -48.186 eV for the cell shown
Spin magnetization = 0.00 Bohr magnetons per cell
Symmetry = No. 59



Computed, not measured: a geometry-optimized K2MgF3 structure at the PBE level of DFT.

Cell and atoms, written as POSCAR:
```
K2MgF3
1.0
3.9973 0.0000 0.0000
0.0000 4.1008 0.0000
0.0000 0.0000 13.6008
K Mg F
4 2 6
direct
0.0000 0.0000 0.1514
0.0000 0.0000 0.8486
0.5000 0.5000 0.3486
0.5000 0.5000 0.6514
0.0000 0.0000 0.5000
0.5000 0.5000 0.0000
0.0000 0.0000 0.3502
0.0000 0.0000 0.6498
0.0000 0.5000 0.5000
0.5000 0.0000 0.0000
0.5000 0.5000 0.1498
0.5000 0.5000 0.8502
```

## Properties
N(E_F) = 3.15 states/eV per cell
Raw total energy = -49.421 eV for the cell shown
Spin magnetization = 1.51 Bohr magnetons per cell
Symmetry = No. 71



Computed, not measured: a geometry-optimized K2Mg3F8 structure at the PBE level of DFT.

Cell and atoms, written as POSCAR:
```
K2Mg3F8
1.0
6.2740 -3.1427 0.0000
6.2740 3.1427 0.0000
-1.7645 0.0000 5.0564
K Mg F
2 3 8
direct
0.2240 0.2240 0.1720
0.7760 0.7760 0.8280
0.2393 0.7607 0.5000
0.5000 0.5000 0.0000
0.7607 0.2393 0.5000
0.0989 0.0989 0.4672
0.1931 0.6275 0.1183
0.3725 0.8069 0.8817
0.4128 0.4128 0.6002
0.5872 0.5872 0.3998
0.6275 0.1931 0.1183
0.8069 0.3725 0.8817
0.9011 0.9011 0.5328
```

## Properties
N(E_F) = 0.00 states/eV per cell
Raw total energy = -65.062 eV for the cell shown
Spin magnetization = 0.19 Bohr magnetons per cell
Symmetry = No. 12



Computed, not measured: a geometry-optimized K4MgF6 structure at the PBE level of DFT.

Cell and atoms, written as POSCAR:
```
K4MgF6
1.0
5.0972 2.9429 4.2345
-5.0972 2.9429 4.2345
0.0000 -5.8858 4.2345
K Mg F
8 2 12
direct
0.1127 0.7500 0.3873
0.2500 0.2500 0.2500
0.2500 0.6127 0.8873
0.3873 0.1127 0.7500
0.6127 0.8873 0.2500
0.7500 0.3873 0.1127
0.7500 0.7500 0.7500
0.8873 0.2500 0.6127
0.0000 0.0000 0.0000
0.5000 0.5000 0.5000
0.0569 0.9305 0.7325
0.0695 0.2675 0.9431
0.2325 0.4305 0.5569
0.2675 0.9431 0.0695
0.4305 0.5569 0.2325
0.4431 0.7675 0.5695
0.5569 0.2325 0.4305
0.5695 0.4431 0.7675
0.7325 0.0569 0.9305
0.7675 0.5695 0.4431
0.9305 0.7325 0.0569
0.9431 0.0695 0.2675
```

## Properties
N(E_F) = 0.00 states/eV per cell
Raw total energy = -99.656 eV for the cell shown
Spin magnetization = 0.32 Bohr magnetons per cell
Symmetry = No. 167



Computed, not measured: a geometry-optimized KMgF3 structure at the PBE level of DFT.

Cell and atoms, written as POSCAR:
```
KMgF3
1.0
5.2776 -1.9945 0.0000
5.2776 1.9945 0.0000
-1.4421 0.0000 7.0917
K Mg F
2 2 6
direct
0.1170 0.1170 0.3879
0.8830 0.8830 0.6121
0.3693 0.3693 0.0780
0.6307 0.6307 0.9220
0.1701 0.1701 0.9542
0.3556 0.3556 0.3462
0.4351 0.4351 0.8351
0.5649 0.5649 0.1649
0.6444 0.6444 0.6538
0.8299 0.8299 0.0458
```

## Properties
N(E_F) = 0.00 states/eV per cell
Raw total energy = -48.800 eV for the cell shown
Spin magnetization = 0.19 Bohr magnetons per cell
Symmetry = No. 12



Computed, not measured: a geometry-optimized KMgF3 structure at the PBE level of DFT.

Cell and atoms, written as POSCAR:
```
KMgF3
1.0
4.1475 0.0000 0.0000
-2.0737 3.5918 0.0000
0.0000 0.0000 8.5339
K Mg F
2 2 6
direct
0.3333 0.6667 0.2500
0.6667 0.3333 0.7500
0.0000 0.0000 0.0000
0.0000 0.0000 0.5000
0.0000 0.0000 0.2500
0.0000 0.0000 0.7500
0.3333 0.6667 0.5537
0.3333 0.6667 0.9463
0.6667 0.3333 0.0537
0.6667 0.3333 0.4463
```

## Properties
N(E_F) = 0.00 states/eV per cell
Raw total energy = -44.851 eV for the cell shown
Spin magnetization = 0.00 Bohr magnetons per cell
Symmetry = No. 194



Computed, not measured: a geometry-optimized KMgF3 structure at the PBE level of DFT.

Cell and atoms, written as POSCAR:
```
KMgF3
1.0
3.1654 1.8276 5.5008
-3.1654 1.8276 5.5008
0.0000 -3.6551 5.5008
K Mg F
2 2 6
direct
0.0000 0.0000 0.0000
0.5000 0.5000 0.5000
0.2500 0.2500 0.2500
0.7500 0.7500 0.7500
0.0417 0.7500 0.4583
0.2500 0.5417 0.9583
0.4583 0.0417 0.7500
0.5417 0.9583 0.2500
0.7500 0.4583 0.0417
0.9583 0.2500 0.5417
```

## Properties
N(E_F) = 0.00 states/eV per cell
Raw total energy = -46.496 eV for the cell shown
Spin magnetization = 0.00 Bohr magnetons per cell
Symmetry = No. 167



Computed, not measured: a geometry-optimized KMgF3 structure at the PBE level of DFT.

Cell and atoms, written as POSCAR:
```
KMgF3
1.0
3.9134 0.0000 0.0000
0.0000 3.0866 0.0000
-0.0067 0.0000 5.6669
K Mg F
1 1 3
direct
0.0000 0.0000 0.0000
0.5000 0.0000 0.5000
0.0000 0.0000 0.5000
0.4996 0.5000 0.2578
0.5004 0.5000 0.7422
```

## Properties
N(E_F) = 0.00 states/eV per cell
Raw total energy = -24.208 eV for the cell shown
Spin magnetization = 0.00 Bohr magnetons per cell
Symmetry = No. 10



Computed, not measured: a geometry-optimized KMgF3 structure at the PBE level of DFT.

Cell and atoms, written as POSCAR:
```
KMgF3
1.0
0.0000 5.3251 5.3251
5.3251 0.0000 5.3251
5.3251 5.3251 0.0000
K Mg F
4 4 12
direct
0.0000 0.0000 0.0000
0.0000 0.0000 0.5000
0.0000 0.5000 0.0000
0.5000 0.0000 0.0000
0.0000 0.5000 0.5000
0.5000 0.0000 0.5000
0.5000 0.5000 0.0000
0.5000 0.5000 0.5000
0.1786 0.1786 0.5714
0.1786 0.5714 0.1786
0.1786 0.5714 0.5714
0.4286 0.4286 0.8214
0.4286 0.8214 0.4286
0.4286 0.8214 0.8214
0.5714 0.1786 0.1786
0.5714 0.1786 0.5714
0.5714 0.5714 0.1786
0.8214 0.4286 0.4286
0.8214 0.4286 0.8214
0.8214 0.8214 0.4286
```

## Properties
N(E_F) = 0.00 states/eV per cell
Raw total energy = -96.865 eV for the cell shown
Spin magnetization = 0.00 Bohr magnetons per cell
Symmetry = No. 227



Computed, not measured: a geometry-optimized KMgF3 structure at the PBE level of DFT.

Cell and atoms, written as POSCAR:
```
KMgF3
1.0
2.7842 1.6074 5.7339
-2.7842 1.6074 5.7339
0.0000 -3.2149 5.7339
K Mg F
2 2 6
direct
0.1361 0.1361 0.1361
0.8639 0.8639 0.8639
0.3382 0.3382 0.3382
0.6618 0.6618 0.6618
0.0586 0.4761 0.6644
0.3356 0.9414 0.5239
0.4761 0.6644 0.0586
0.5239 0.3356 0.9414
0.6644 0.0586 0.4761
0.9414 0.5239 0.3356
```

## Properties
N(E_F) = 0.00 states/eV per cell
Raw total energy = -48.768 eV for the cell shown
Spin magnetization = 0.00 Bohr magnetons per cell
Symmetry = No. 148



Computed, not measured: a geometry-optimized K2MgF structure at the PBE level of DFT.

Cell and atoms, written as POSCAR:
```
K2MgF
1.0
7.9959 0.0000 0.0000
0.0000 7.9959 0.0000
0.0000 0.0000 9.9398
K Mg F
8 4 4
direct
0.1106 0.2500 0.1250
0.2500 0.6106 0.3750
0.2500 0.8894 0.8750
0.3894 0.2500 0.6250
0.6106 0.7500 0.6250
0.7500 0.1106 0.8750
0.7500 0.3894 0.3750
0.8894 0.7500 0.1250
0.0000 0.0000 0.5000
0.0000 0.5000 0.7500
0.5000 0.0000 0.2500
0.5000 0.5000 0.0000
0.0000 0.0000 0.0000
0.0000 0.5000 0.2500
0.5000 0.0000 0.7500
0.5000 0.5000 0.5000
```

## Properties
N(E_F) = 11.39 states/eV per cell
Excess energy over the best structure of this formula in the dataset = 0 meV/atom
Spin magnetization = 0.00 Bohr magnetons per cell
Symmetry = No. 122



Computed, not measured: a geometry-optimized KMgF2 structure at the PBE level of DFT.

Cell and atoms, written as POSCAR:
```
KMgF2
1.0
3.4769 0.0000 0.0000
-1.7385 3.0111 0.0000
0.0000 0.0000 22.0300
K Mg F
3 3 6
direct
0.0000 0.0000 0.0000
0.3333 0.6667 0.6667
0.6667 0.3333 0.3333
0.0000 0.0000 0.5000
0.3333 0.6667 0.1667
0.6667 0.3333 0.8333
0.0000 0.0000 0.1270
0.0000 0.0000 0.8730
0.3333 0.6667 0.5397
0.3333 0.6667 0.7936
0.6667 0.3333 0.2064
0.6667 0.3333 0.4603
```

## Properties
N(E_F) = 2.50 states/eV per cell
Excess energy over the best structure of this formula in the dataset = 132 meV/atom
Spin magnetization = 0.00 Bohr magnetons per cell
Symmetry = No. 166



Computed, not measured: a geometry-optimized KMgF3 structure at the PBE level of DFT.

Cell and atoms, written as POSCAR:
```
KMgF3
1.0
3.6572 0.0000 0.0000
0.0000 3.6572 0.0000
0.0000 0.0000 6.5189
K Mg F
1 1 3
direct
0.0000 0.0000 0.0000
0.5000 0.5000 0.3978
0.0000 0.0000 0.6278
0.0000 0.5000 0.2762
0.5000 0.0000 0.2762
```

## Properties
N(E_F) = 0.00 states/eV per cell
Raw total energy = -22.261 eV for the cell shown
Spin magnetization = 0.00 Bohr magnetons per cell
Symmetry = No. 99



Computed, not measured: a geometry-optimized KMg3F structure at the PBE level of DFT.

Cell and atoms, written as POSCAR:
```
KMg3F
1.0
6.8782 0.0000 0.0000
0.0000 6.8782 0.0000
0.0000 0.0000 6.8782
K Mg F
1 3 1
direct
0.0000 0.0000 0.0000
0.0000 0.0000 0.5000
0.0000 0.5000 0.0000
0.5000 0.0000 0.0000
0.5000 0.5000 0.5000
```

## Properties
N(E_F) = 22.52 states/eV per cell
Excess energy over the best structure of this formula in the dataset = 943 meV/atom
Spin magnetization = 0.02 Bohr magnetons per cell
Symmetry = No. 221